--- one ---
Li3SbS3 | PBE | optimized geometry

The structure belongs to space group R3m (No. 160, hexagonal axes); the cell edges are 10.7456, 10.7456 and 4.2551 Å and the angles 90.00°, 90.00° and 120.00°. The asymmetric unit holds Li at (0.1883, 0.3766, 0.0000), Sb at (0.0000, 0.0000, 0.7694) and S at (0.0995, 0.5497, 0.1643).

---

--- two ---
Li3SbS3 | PBE | optimized geometry

The structure belongs to space group P2_13 (No. 198); the cell edges are 8.746, 8.746 and 8.746 Å and the angles 90.00°, 90.00° and 90.00°. The asymmetric unit holds Li at (0.061, 0.439, 0.561), Li at (0.222, 0.778, 0.278), Li at (0.232, 0.232, 0.232), Sb at (0.027, 0.973, 0.473) and S at (0.002, 0.738, 0.114).

---

--- three ---
Li3SbS3 | PBE | optimized geometry

The structure belongs to space group Pna2_1 (No. 33); the cell edges are 8.048, 6.831 and 10.189 Å and the angles 90.00°, 90.00° and 90.00°. The asymmetric unit holds Li at (0.062, 0.045, 0.000), Li at (0.089, 0.345, 0.457), Li at (0.245, 0.376, 0.157), Sb at (0.237, 0.396, 0.774), S at (0.037, 0.142, 0.264), S at (0.157, 0.697, 0.457) and S at (0.177, 0.705, 0.080).

---

Structures ranked by computed energy, the most stable listed first: three, one, two.